Pr3ScGe4: optimized geometry, GGA-PBE.

a b c (Å): 4.386 6.181 15.984
angles (deg): 90.00 90.00 90.00
Space group Immm (No. 71)
Inequivalent atoms, fractional coordinates:
1 Pr 0.000 0.000 0.000 (multiplicity 2)
2 Pr 0.000 0.500 0.194 (multiplicity 4)
3 Sc 0.000 0.000 0.500 (multiplicity 2)
4 Ge 0.000 0.299 0.374 (multiplicity 8)

Calculated values
Fermi-level density of states (states/eV per cell): 11.77
DFT formation energy (meV/atom): -696